Record 1
Here is a relaxed structure of SrGa2BMo from Alexandria. Energies are from GGA-PBE.

Calculated values
- Theoretical density: 3.3 g/cm³
- SG: No. 123
- Density of states at the Fermi level: 1.06 states/eV/atom
- Raw total energy: -12.1 eV per cell
- Formation enthalpy at 0 K: 2.63 eV per atom
- Total magnetization: 2.218 μB per cell

CIF file:
```
data_SrGa2BMo
_chemical_formula_sum 'Sr1 Ga2 B1 Mo1'
_cell_length_a 5.6733
_cell_length_b 5.2819
_cell_length_c 5.6733
_cell_angle_alpha 90.00
_cell_angle_beta 90.00
_cell_angle_gamma 90.00
_symmetry_space_group_name_H-M 'P 1'
_symmetry_Int_Tables_number 1
loop_
_symmetry_equiv_pos_as_xyz
'x,y,z'
loop_
_atom_site_label
_atom_site_type_symbol
_atom_site_fract_x
_atom_site_fract_y
_atom_site_fract_z
Mo1 Mo 0.0000 0.5000 0.0000
B1 B 0.5000 0.5000 0.5000
Ga1 Ga 0.5000 0.0000 0.0000
Ga2 Ga 0.0000 0.0000 0.5000
Sr1 Sr 0.0000 0.0000 0.0000
```



Record 2
Here is a relaxed structure of Tl2GaBMo from Alexandria. Energies are from GGA-PBE.

Calculated values
- Theoretical density: 6.8 g/cm³
- SG: No. 123
- Density of states at the Fermi level: 0.76 states/eV/atom
- Raw total energy: -17.9 eV per cell
- Formation enthalpy at 0 K: 1.47 eV per atom
- Total magnetization: 0.000 μB per cell

CIF file:
```
data_Tl2GaBMo
_chemical_formula_sum 'Tl2 Ga1 B1 Mo1'
_cell_length_a 5.3720
_cell_length_b 4.9347
_cell_length_c 5.3720
_cell_angle_alpha 90.00
_cell_angle_beta 90.00
_cell_angle_gamma 90.00
_symmetry_space_group_name_H-M 'P 1'
_symmetry_Int_Tables_number 1
loop_
_symmetry_equiv_pos_as_xyz
'x,y,z'
loop_
_atom_site_label
_atom_site_type_symbol
_atom_site_fract_x
_atom_site_fract_y
_atom_site_fract_z
Tl1 Tl 0.0000 0.0000 0.5000
Tl2 Tl 0.5000 0.0000 0.0000
Ga1 Ga 0.0000 0.5000 0.0000
Mo1 Mo 0.0000 0.0000 0.0000
B1 B 0.5000 0.5000 0.5000
```



Record 3
Here is a relaxed structure of Ga2BN from Alexandria. Energies are from GGA-PBE.

Calculated values
- Theoretical density: 4.3 g/cm³
- SG: No. 6
- Density of states at the Fermi level: 0.09 states/eV/atom
- Raw total energy: -45.2 eV per cell
- E_form (uncorrected): -37 kJ/mol of atoms
- Distance to the lowest polymorph of the same formula: 25.1 kJ/mol of formula units
- Total magnetization: 0.000 μB per cell

CIF file:
```
data_Ga2BN
_chemical_formula_sum 'Ga4 B2 N2'
_cell_length_a 4.1257
_cell_length_b 2.5777
_cell_length_c 11.9766
_cell_angle_alpha 90.00
_cell_angle_beta 90.29
_cell_angle_gamma 90.00
_symmetry_space_group_name_H-M 'P 1'
_symmetry_Int_Tables_number 1
loop_
_symmetry_equiv_pos_as_xyz
'x,y,z'
loop_
_atom_site_label
_atom_site_type_symbol
_atom_site_fract_x
_atom_site_fract_y
_atom_site_fract_z
B1 B 0.6280 0.5000 0.7343
B2 B 0.6231 0.0000 0.9163
N1 N 0.6263 0.0000 0.7916
N2 N 0.6217 0.5000 0.9723
Ga1 Ga 0.1218 0.0000 0.2367
Ga2 Ga 0.6201 0.5000 0.1332
Ga3 Ga 0.1299 0.0000 0.4478
Ga4 Ga 0.6316 0.5000 0.5562
```



Record 4
Here is a relaxed structure of GaBN3 from Alexandria. Energies are from GGA-PBE.

Calculated values
- Theoretical density: 5.2 g/cm³
- SG: No. 221
- Density of states at the Fermi level: 0.72 states/eV/atom
- Raw total energy: -27.2 eV per cell
- E_form (uncorrected): 145 kJ/mol of atoms
- Total magnetization: 0.000 μB per cell

CIF file:
```
data_GaBN3
_chemical_formula_sum 'Ga1 B1 N3'
_cell_length_a 3.3950
_cell_length_b 3.3950
_cell_length_c 3.3950
_cell_angle_alpha 90.00
_cell_angle_beta 90.00
_cell_angle_gamma 90.00
_symmetry_space_group_name_H-M 'P 1'
_symmetry_Int_Tables_number 1
loop_
_symmetry_equiv_pos_as_xyz
'x,y,z'
loop_
_atom_site_label
_atom_site_type_symbol
_atom_site_fract_x
_atom_site_fract_y
_atom_site_fract_z
Ga1 Ga 0.5000 0.5000 0.5000
N1 N 0.0000 0.5000 0.0000
N2 N 0.0000 0.0000 0.5000
N3 N 0.5000 0.0000 0.0000
B1 B 0.0000 0.0000 0.0000
```



Record 5
Here is a relaxed structure of GaB2N from Alexandria. Energies are from GGA-PBE.

Calculated values
- Theoretical density: 4.6 g/cm³
- SG: No. 122
- Density of states at the Fermi level: 0.05 states/eV/atom
- Raw total energy: -46.8 eV per cell
- E_form (uncorrected): 31 kJ/mol of atoms
- Distance to the lowest polymorph of the same formula: 0.0 kJ/mol of formula units
- Total magnetization: 0.000 μB per cell

CIF file:
```
data_GaB2N
_chemical_formula_sum 'Ga2 B4 N2'
_cell_length_a 4.4439
_cell_length_b 4.4439
_cell_length_c 4.9727
_cell_angle_alpha 63.46
_cell_angle_beta 63.46
_cell_angle_gamma 90.00
_symmetry_space_group_name_H-M 'P 1'
_symmetry_Int_Tables_number 1
loop_
_symmetry_equiv_pos_as_xyz
'x,y,z'
loop_
_atom_site_label
_atom_site_type_symbol
_atom_site_fract_x
_atom_site_fract_y
_atom_site_fract_z
Ga1 Ga 0.0000 0.0000 0.0000
Ga2 Ga 0.7500 0.2500 0.5000
B1 B 0.3750 0.4756 0.7500
B2 B 0.5244 0.1250 0.2500
B3 B 0.2256 0.6250 0.2500
B4 B 0.8750 0.7744 0.7500
N1 N 0.2500 0.7500 0.5000
N2 N 0.5000 0.5000 0.0000
```



Record 6
Here is a relaxed structure of Ga2BN from Alexandria. Energies are from GGA-PBE.

Calculated values
- Theoretical density: 3.3 g/cm³
- SG: No. 6
- Density of states at the Fermi level: 0.08 states/eV/atom
- Raw total energy: -45.0 eV per cell
- E_form (uncorrected): -35 kJ/mol of atoms
- Distance to the lowest polymorph of the same formula: 31.1 kJ/mol of formula units
- Total magnetization: 0.000 μB per cell

CIF file:
```
data_Ga2BN
_chemical_formula_sum 'Ga4 B2 N2'
_cell_length_a 6.1559
_cell_length_b 2.5668
_cell_length_c 10.3149
_cell_angle_alpha 90.00
_cell_angle_beta 90.10
_cell_angle_gamma 90.00
_symmetry_space_group_name_H-M 'P 1'
_symmetry_Int_Tables_number 1
loop_
_symmetry_equiv_pos_as_xyz
'x,y,z'
loop_
_atom_site_label
_atom_site_type_symbol
_atom_site_fract_x
_atom_site_fract_y
_atom_site_fract_z
B1 B 0.7499 0.5000 0.9265
B2 B 0.7507 0.0000 0.7148
Ga1 Ga 0.7508 0.0000 0.5086
Ga2 Ga 0.4655 0.5000 0.3431
Ga3 Ga 0.7500 0.0000 0.1783
Ga4 Ga 0.0354 0.5000 0.3433
N1 N 0.7497 0.0000 0.9920
N2 N 0.7505 0.5000 0.7818
```